Record 1
VASP calculation (GGA-PBE) on a relaxed NbCoAgPb crystal.

Cell lengths 4.6384, 4.6384, 4.6384 Å; angles 60.00, 60.00, 60.00 degrees
With the nearest neighbours (Å) after each atom.
Atoms (fractional coordinates):
Nb1 0.0000 0.0000 0.0000  4 Co 2.84, 4 Ag 2.84
Co1 0.7500 0.7500 0.7500  4 Nb 2.84, 4 Pb 2.84
Ag1 0.2500 0.2500 0.2500  4 Nb 2.84, 4 Pb 2.84
Pb1 0.5000 0.5000 0.5000  4 Co 2.84, 4 Ag 2.84

## Properties
The value obtained for the raw total energy is -5.446 eV/atom. The value obtained for the distance to the lowest polymorph of the same formula is 0.0000 eV per atom. Its symmetry is F-43m (216).

---

Record 2
VASP calculation (GGA-PBE) on a relaxed NbCoAgSb crystal.

Cell lengths 4.5689, 4.5689, 4.5689 Å; angles 60.00, 60.00, 60.00 degrees
With the nearest neighbours (Å) after each atom.
Atoms (fractional coordinates):
Nb1 0.0000 0.0000 0.0000  4 Ag 2.80, 4 Sb 2.80
Co1 0.5000 0.5000 0.5000  4 Ag 2.80, 4 Sb 2.80
Ag1 0.7500 0.7500 0.7500  4 Nb 2.80, 4 Co 2.80
Sb1 0.2500 0.2500 0.2500  4 Nb 2.80, 4 Co 2.80

## Properties
The value obtained for the raw total energy is -5.731 eV/atom. The value obtained for the distance to the lowest polymorph of the same formula is 0.0000 eV per atom. Its symmetry is F-43m (216).

---

Record 3
VASP calculation (GGA-PBE) on a relaxed NbCoSiAg crystal.

Cell lengths 4.3696, 4.3696, 4.3696 Å; angles 60.00, 60.00, 60.00 degrees
With the nearest neighbours (Å) after each atom.
Atoms (fractional coordinates):
Nb1 0.0000 0.0000 0.0000  4 Ag 2.68, 4 Si 2.68
Co1 0.5000 0.5000 0.5000  4 Ag 2.68, 4 Si 2.68
Si1 0.2500 0.2500 0.2500  4 Co 2.68, 4 Nb 2.68
Ag1 0.7500 0.7500 0.7500  4 Co 2.68, 4 Nb 2.68

## Properties
The value obtained for the raw total energy is -6.204 eV/atom. The value obtained for the distance to the lowest polymorph of the same formula is 0.0000 eV per atom. Its symmetry is F-43m (216).

---

Record 4
VASP calculation (GGA-PBE) on a relaxed NbZnCoAg crystal.

Cell lengths 4.4091, 4.4091, 4.4091 Å; angles 60.00, 60.00, 60.00 degrees
With the nearest neighbours (Å) after each atom.
Atoms (fractional coordinates):
Nb1 0.0000 0.0000 0.0000  4 Co 2.70, 4 Ag 2.70
Zn1 0.5000 0.5000 0.5000  4 Co 2.70, 4 Ag 2.70
Co1 0.7500 0.7500 0.7500  4 Nb 2.70, 4 Zn 2.70
Ag1 0.2500 0.2500 0.2500  4 Zn 2.70, 4 Nb 2.70

## Properties
The value obtained for the raw total energy is -5.130 eV/atom. The calculation puts the energy of formation from the pure elements at 0.8 eV per formula unit. The value obtained for the distance to the lowest polymorph of the same formula is 0.0000 eV per atom. Its symmetry is F-43m (216).

---

Record 5
VASP calculation (GGA-PBE) on a relaxed CoNiAgSn crystal.

Cell lengths 4.3775, 4.3775, 4.3775 Å; angles 60.00, 60.00, 60.00 degrees
With the nearest neighbours (Å) after each atom.
Atoms (fractional coordinates):
Co1 0.0000 0.0000 0.0000  4 Sn 2.68, 4 Ag 2.68
Ni1 0.5000 0.5000 0.5000  4 Sn 2.68, 4 Ag 2.68
Ag1 0.2500 0.2500 0.2500  4 Co 2.68, 4 Ni 2.68
Sn1 0.7500 0.7500 0.7500  4 Co 2.68, 4 Ni 2.68

## Properties
The value obtained for the raw total energy is -4.795 eV/atom. The value obtained for the distance to the lowest polymorph of the same formula is 0.0000 eV per atom. Its symmetry is F-43m (216).

---

Record 6
VASP calculation (GGA-PBE) on a relaxed ZnCoNiAg crystal.

Cell lengths 4.2213, 4.2213, 4.2213 Å; angles 60.00, 60.00, 60.00 degrees
With the nearest neighbours (Å) after each atom.
Atoms (fractional coordinates):
Zn1 0.0000 0.0000 0.0000  4 Ni 2.58, 4 Co 2.58
Co1 0.2500 0.2500 0.2500  4 Zn 2.58, 4 Ag 2.58
Ni1 0.7500 0.7500 0.7500  4 Zn 2.58, 4 Ag 2.58
Ag1 0.5000 0.5000 0.5000  4 Co 2.58, 4 Ni 2.58

## Properties
The value obtained for the raw total energy is -3.977 eV/atom. The calculation puts the energy of formation from the pure elements at 0.9 eV per formula unit. The value obtained for the distance to the lowest polymorph of the same formula is 0.0184 eV per atom. Its symmetry is F-43m (216).

---

Record 7
VASP calculation (GGA-PBE) on a relaxed ZnCoNiAg crystal.

Cell lengths 4.2260, 4.2260, 4.2260 Å; angles 60.00, 60.00, 60.00 degrees
With the nearest neighbours (Å) after each atom.
Atoms (fractional coordinates):
Zn1 0.0000 0.0000 0.0000  4 Co 2.59, 4 Ag 2.59
Co1 0.2500 0.2500 0.2500  4 Ni 2.59, 4 Zn 2.59
Ni1 0.5000 0.5000 0.5000  4 Co 2.59, 4 Ag 2.59
Ag1 0.7500 0.7500 0.7500  4 Ni 2.59, 4 Zn 2.59

## Properties
The value obtained for the raw total energy is -3.995 eV/atom. The calculation puts the energy of formation from the pure elements at 0.8 eV per formula unit. The value obtained for the distance to the lowest polymorph of the same formula is 0.0000 eV per atom. Its symmetry is F-43m (216).

---

Record 8
VASP calculation (GGA-PBE) on a relaxed NpCoAg crystal.

Cell lengths 4.3509, 4.3509, 4.3509 Å; angles 60.00, 60.00, 60.00 degrees
With the nearest neighbours (Å) after each atom.
Atoms (fractional coordinates):
Np1 0.0000 0.0000 0.0000  4 Co 2.66
Co1 0.7500 0.7500 0.7500  4 Np 2.66, 4 Ag 2.66
Ag1 0.5000 0.5000 0.5000  4 Co 2.66

## Properties
The value obtained for the raw total energy is -5.890 eV/atom. The calculation puts the energy of formation from the pure elements at 5.0 eV per formula unit. Its symmetry is F-43m (216).